DFT (PBE-GGA) results for HfTaTiRe after structural relaxation.

a = 4.623 Å, b = 4.623 Å, c = 4.623 Å
α = 60.00°, β = 60.00°, γ = 60.00°
Element x y z (fractional)
1 Hf 0.000 0.000 0.000
2 Ti 0.250 0.250 0.250
3 Re 0.750 0.750 0.750
4 Ta 0.500 0.500 0.500

## Properties
The density of states at the Fermi level is 5.5 states/eV per cell. The total energy is -10.706 eV per atom. The value obtained for the formation energy is -0.17 eV per atom. Its space group is F-43m. As for the mass density: 14.11 g cm⁻³.

DFT (PBE-GGA) results for Tc2MoRh after structural relaxation.

a = 2.743 Å, b = 4.780 Å, c = 5.507 Å
α = 54.75°, β = 90.00°, γ = 90.00°
Element x y z (fractional)
1 Tc 0.500 0.500 0.000
2 Tc 0.000 0.000 0.000
3 Rh 0.000 0.000 0.500
4 Mo 0.500 0.500 0.500

## Properties
The density of states at the Fermi level is 4.2 states/eV per cell. The total energy is -9.750 eV per atom. The value obtained for the formation energy is -0.02 eV per atom. Its space group is P2/m. As for the mass density: 11.12 g cm⁻³.

DFT (PBE-GGA) results for La8PS3Br4 after structural relaxation.

a = 8.323 Å, b = 8.828 Å, c = 8.323 Å
α = 118.12°, β = 120.00°, γ = 90.00°
Element x y z (fractional)
1 Br 0.500 0.000 0.500
2 Br 0.000 0.000 0.500
3 Br 0.000 0.000 0.000
4 Br 0.500 0.000 0.000
5 S 0.500 0.500 0.500
6 S 0.500 0.500 0.000
7 S 0.000 0.500 0.500
8 La 0.763 0.290 0.525
9 La 0.763 0.290 0.027
10 La 0.237 0.710 0.973
11 La 0.237 0.710 0.475
12 La 0.265 0.290 0.027
13 La 0.264 0.291 0.527
14 La 0.736 0.709 0.473
15 La 0.735 0.710 0.973
16 P 0.000 0.500 0.000

## Properties
The density of states at the Fermi level is 9.4 states/eV per cell. The formation energy without anion corrections is -1.720 eV/atom. The total energy is -5.714 eV per atom. Its space group is R-3m. As for the mass density: 5.82 g cm⁻³.